An optimized crystal structure of Tb2CO. Source: Alexandria via LeMat-Bulk, functional PBE.

a b c (Å): 7.9004 7.9004 6.1371
angles (deg): 104.84 104.84 126.91
Element x y z (fractional)
1 Tb 0.0629 0.4375 0.7564
2 Tb 0.1844 0.3090 0.2435
3 Tb 0.3090 0.1844 0.7435
4 Tb 0.4375 0.0629 0.2564
5 Tb 0.5625 0.9371 0.7436
6 Tb 0.6910 0.8156 0.2565
7 Tb 0.8156 0.6910 0.7565
8 Tb 0.9371 0.5625 0.2436
9 C 0.0622 0.9378 0.2500
10 C 0.3131 0.6869 0.2500
11 C 0.6869 0.3131 0.7500
12 C 0.9378 0.0622 0.7500
13 O 0.1871 0.8129 0.7500
14 O 0.4380 0.5620 0.7500
15 O 0.5620 0.4380 0.2500
16 O 0.8129 0.1871 0.2500

Values from the calculation:
Total magnetization: 0.000 μB per cell
E_form (uncorrected): -6.80 eV per formula unit
Excess energy over the best structure of this formula in the dataset: 0.000 eV per atom
VASP energy: -0.278 Ha/atom